Li4Mn3V5O16: single point on PBEsol structure, meta-GGA SCAN.

Cell and atoms, written as CIF:
```
data_Li4Mn3V5O16
_chemical_formula_sum 'Li8 Mn6 V10 O32'
_symmetry_space_group_name_H-M 'C 1 m 1'
_symmetry_Int_Tables_number 8
_cell_length_a 9.939
_cell_length_b 5.681
_cell_length_c 9.379
_cell_angle_alpha 90.00
_cell_angle_beta 90.24
_cell_angle_gamma 90.00
loop_
_symmetry_equiv_pos_as_xyz
'x,y,z'
'x,-y,z'
'x+1/2,y+1/2,z'
'x+1/2,-y+1/2,z'
loop_
_atom_site_label
_atom_site_fract_x
_atom_site_fract_y
_atom_site_fract_z
Li1 0.000 0.000 0.000
Li2 0.004 0.000 0.502
Li3 0.170 0.500 0.598
Li4 0.335 0.000 0.105
Mn1 0.088 0.255 0.283
Mn2 0.168 0.000 0.784
V1 0.168 0.500 0.009
V2 0.335 0.500 0.281
V3 0.336 0.000 0.504
V4 0.415 0.237 0.783
O1 0.000 0.000 0.690
O2 0.004 0.000 0.187
O3 0.021 0.500 0.157
O4 0.080 0.260 0.898
O5 0.169 0.000 0.401
O6 0.170 0.500 0.390
O7 0.241 0.280 0.157
O8 0.263 0.220 0.656
O9 0.328 0.000 0.897
O10 0.333 0.500 0.894
O11 0.417 0.251 0.395
O12 0.483 0.000 0.650
```

Computed properties:
DFT total energy   -640.83 eV for the cell shown
E_form (uncorrected)   -2462 meV per atom
Total magnetic moment   18.02 μB/f.u.

---

Li2MnVO4: single point on PBEsol structure, meta-GGA SCAN.

Cell and atoms, written as CIF:
```
data_Li2MnVO4
_chemical_formula_sum 'Li8 Mn4 V4 O16'
_symmetry_space_group_name_H-M 'I m m a'
_symmetry_Int_Tables_number 74
_symmetry_space_group_name_Hall '-I 2b 2'
_cell_length_a 5.667
_cell_length_b 5.737
_cell_length_c 8.749
_cell_angle_alpha 90.00
_cell_angle_beta 90.00
_cell_angle_gamma 90.00
loop_
_atom_site_label
_atom_site_fract_x
_atom_site_fract_y
_atom_site_fract_z
Li1 0.000 0.000 0.000
Li2 0.250 0.250 0.250
Mn1 0.000 0.000 0.500
V1 0.250 0.250 0.750
O1 0.000 0.010 0.754
O2 0.236 0.250 0.521
```

Computed properties:
DFT total energy   -338.02 eV for the cell shown
ΔE to the lowest computed polymorph   0.010 eV/atom
E_form (uncorrected)   -2382 meV per atom
Total magnetic moment   6.00 μB/f.u.

---

Li2MnVO4: single point on PBEsol structure, meta-GGA SCAN.

Cell and atoms, written as CIF:
```
data_Li2MnVO4
_chemical_formula_sum 'Li6 Mn3 V3 O12'
_symmetry_space_group_name_H-M 'P -1'
_symmetry_Int_Tables_number 2
_cell_length_a 5.104
_cell_length_b 5.774
_cell_length_c 7.466
_cell_angle_alpha 81.23
_cell_angle_beta 73.05
_cell_angle_gamma 87.87
loop_
_symmetry_equiv_pos_as_xyz
'x,y,z'
'-x,-y,-z'
loop_
_atom_site_label
_atom_site_fract_x
_atom_site_fract_y
_atom_site_fract_z
Li1 0.001 0.413 0.329
Li2 0.002 0.083 0.661
Li3 0.005 0.257 0.993
Mn1 0.488 0.810 0.670
Mn2 0.500 0.000 0.000
V1 0.490 0.650 0.338
V2 0.500 0.500 0.000
O1 0.248 0.524 0.844
O2 0.255 0.692 0.174
O3 0.259 0.856 0.508
O4 0.264 0.378 0.498
O5 0.279 0.210 0.160
O6 0.289 0.050 0.820
```

Computed properties:
DFT total energy   -253.67 eV for the cell shown
ΔE to the lowest computed polymorph   0.003 eV/atom
E_form (uncorrected)   -2389 meV per atom
Total magnetic moment   2.00 μB/f.u.

---

Li5Mn3V2O10: single point on PBEsol structure, meta-GGA SCAN.

Cell and atoms, written as CIF:
```
data_Li5Mn3V2O10
_chemical_formula_sum 'Li5 Mn3 V2 O10'
_symmetry_space_group_name_H-M 'P -1'
_symmetry_Int_Tables_number 2
_cell_length_a 5.047
_cell_length_b 5.094
_cell_length_c 7.457
_cell_angle_alpha 103.16
_cell_angle_beta 108.52
_cell_angle_gamma 98.95
loop_
_symmetry_equiv_pos_as_xyz
'x,y,z'
'-x,-y,-z'
loop_
_atom_site_label
_atom_site_fract_x
_atom_site_fract_y
_atom_site_fract_z
Li1 0.000 0.000 0.000
Li2 0.197 0.492 0.910
Li3 0.385 0.500 0.284
Mn1 0.000 0.500 0.500
Mn2 0.209 0.000 0.390
V1 0.421 0.002 0.807
O1 0.001 0.763 0.738
O2 0.204 0.767 0.151
O3 0.222 0.223 0.646
O4 0.365 0.747 0.537
O5 0.418 0.240 0.053
```

Computed properties:
DFT total energy   -210.97 eV for the cell shown
E_form (uncorrected)   -2348 meV per atom
Total magnetic moment   7.99 μB/f.u.

---

Li4MnVW2O12: single point on PBEsol structure, meta-GGA SCAN.

Cell and atoms, written as CIF:
```
data_Li4MnVW2O12
_chemical_formula_sum 'Li4 Mn1 V1 W2 O12'
_symmetry_space_group_name_H-M 'P 1'
_symmetry_Int_Tables_number 1
_cell_length_a 5.006
_cell_length_b 5.260
_cell_length_c 7.285
_cell_angle_alpha 93.86
_cell_angle_beta 90.01
_cell_angle_gamma 90.04
loop_
_symmetry_equiv_pos_as_xyz
'x,y,z'
loop_
_atom_site_label
_atom_site_fract_x
_atom_site_fract_y
_atom_site_fract_z
Li1 0.000 0.000 0.000
Li2 0.001 0.000 0.491
Li3 0.496 0.491 0.003
Li4 0.501 0.490 0.491
Mn1 0.499 0.069 0.207
V1 0.999 0.555 0.722
W1 0.003 0.570 0.219
W2 0.498 0.056 0.708
O1 0.116 0.580 0.462
O2 0.185 0.879 0.761
O3 0.198 0.270 0.146
O4 0.302 0.772 0.146
O5 0.304 0.384 0.762
O6 0.389 0.081 0.457
O7 0.613 0.079 0.957
O8 0.688 0.380 0.259
O9 0.698 0.762 0.646
O10 0.806 0.882 0.259
O11 0.809 0.270 0.650
O12 0.885 0.575 0.953
```

Computed properties:
DFT total energy   -306.37 eV for the cell shown
E_form (uncorrected)   -2346 meV per atom
Total magnetic moment   2.09 μB/f.u.

---

Li4MnV2WO12: single point on PBEsol structure, meta-GGA SCAN.

Cell and atoms, written as CIF:
```
data_Li4MnV2WO12
_chemical_formula_sum 'Li4 Mn1 V2 W1 O12'
_symmetry_space_group_name_H-M 'P 1'
_symmetry_Int_Tables_number 1
_cell_length_a 4.973
_cell_length_b 5.251
_cell_length_c 7.217
_cell_angle_alpha 94.41
_cell_angle_beta 90.04
_cell_angle_gamma 90.02
loop_
_symmetry_equiv_pos_as_xyz
'x,y,z'
loop_
_atom_site_label
_atom_site_fract_x
_atom_site_fract_y
_atom_site_fract_z
Li1 0.000 0.000 0.000
Li2 0.001 0.024 0.537
Li3 0.506 0.520 0.539
Li4 0.517 0.527 0.988
Mn1 0.005 0.582 0.734
V1 0.004 0.562 0.232
V2 0.504 0.081 0.739
W1 0.510 0.075 0.234
O1 0.116 0.607 0.459
O2 0.190 0.294 0.156
O3 0.207 0.916 0.774
O4 0.311 0.416 0.769
O5 0.323 0.791 0.155
O6 0.381 0.111 0.470
O7 0.622 0.123 0.973
O8 0.691 0.426 0.277
O9 0.703 0.819 0.665
O10 0.799 0.313 0.662
O11 0.830 0.926 0.279
O12 0.896 0.622 0.974
```

Computed properties:
DFT total energy   -254.55 eV for the cell shown
E_form (uncorrected)   -2365 meV per atom
Total magnetic moment   3.00 μB/f.u.